Version a
RbSrSb2Te | Alexandria via LeMat-Bulk | GGA-PBE | optimized geometry; M_tot = 0.0969 μB per atom; calculated volume = 237 Å³/f.u.; space-group type = P4/mmm, No. 123
1.0
-1.284 5.964 0.944
-5.931 -1.065 -1.342
-1.142 -1.195 5.999
Sb Te Rb Sr
2 1 1 1
Cartesian
-2.966 -0.532 -0.671
-0.642 2.982 0.472
-0.571 -0.598 2.999
-4.179 1.852 2.800
0.000 0.000 0.000


Version b
RbSrSb2Te | Alexandria via LeMat-Bulk | GGA-PBE | optimized geometry; M_tot = 0.0000 μB per atom; calculated volume = 219 Å³/f.u.; space-group type = P4/mmm, No. 123
1.0
-3.810 -4.458 1.028
3.236 -1.681 4.706
-3.361 3.711 3.636
Sb Te Rb Sr
2 1 1 1
Cartesian
1.618 -0.840 2.353
-1.905 -2.229 0.514
-1.680 1.856 1.818
0.000 0.000 0.000
-1.968 -1.214 4.685


version a ends up most stable, edging out the next structure by 493 meV/atom.


Version a
RbSrSbTe2 | Alexandria via LeMat-Bulk | GGA-PBE | optimized geometry; M_tot = 0.0000 μB per atom; calculated volume = 225 Å³/f.u.; space-group type = P4/mmm, No. 123
1.0
6.195 0.000 0.000
0.000 6.195 0.000
0.000 0.000 5.875
Sb Te Rb Sr
1 2 1 1
Cartesian
0.000 0.000 2.937
0.000 3.097 0.000
3.097 0.000 0.000
0.000 0.000 0.000
3.097 3.097 2.937


Version b
RbSrSbTe2 | Alexandria via LeMat-Bulk | GGA-PBE | optimized geometry; M_tot = 0.0725 μB per atom; calculated volume = 241 Å³/f.u.; space-group type = P4/mmm, No. 123
1.0
6.259 0.000 0.000
0.000 6.259 0.000
0.000 0.000 6.162
Sb Te Rb Sr
1 2 1 1
Cartesian
0.000 0.000 3.081
0.000 3.129 0.000
3.129 0.000 0.000
3.129 3.129 3.081
0.000 0.000 0.000


Version c
RbSrSbTe2 | Alexandria via LeMat-Bulk | GGA-PBE | optimized geometry; M_tot = 0.4083 μB per atom; calculated volume = 282 Å³/f.u.; space-group type = P4/mmm, No. 123
1.0
6.149 0.000 0.000
0.000 7.472 0.000
0.000 0.000 6.149
Sb Te Rb Sr
1 2 1 1
Cartesian
3.074 3.736 3.074
0.000 0.000 3.074
3.074 0.000 0.000
0.000 3.736 0.000
0.000 0.000 0.000


version b ends up most stable, edging out the next structure by 335 meV/atom.


Version a
RbTaSb | Alexandria via LeMat-Bulk | GGA-PBE | optimized geometry; M_tot = 0.0000 μB per atom; calculated volume = 108 Å³/f.u.; space-group type = P-1, No. 2
1.0
-2.622 2.347 0.879
-4.487 -1.952 -0.675
-1.316 -5.276 11.889
Rb Ta Sb
2 2 2
Cartesian
-4.905 -2.640 3.643
-3.520 -2.242 8.451
-2.639 -5.163 11.368
-5.785 0.282 0.725
-3.088 0.063 1.851
-5.337 -4.945 10.243


Version b
RbTaSb | Alexandria via LeMat-Bulk | GGA-PBE | optimized geometry; M_tot = 0.0000 μB per atom; calculated volume = 105 Å³/f.u.; space-group type = P2_1/m, No. 11
1.0
4.115 0.000 0.001
0.000 4.281 0.000
-0.099 0.000 11.915
Rb Ta Sb
2 2 2
Cartesian
0.931 1.070 8.095
3.086 3.211 3.821
2.988 1.070 11.839
1.029 3.211 0.077
1.029 1.070 1.943
2.988 3.211 9.974


version b ends up most stable, edging out the next structure by 60 meV/atom.


Version a
RbTaSb | Alexandria via LeMat-Bulk | GGA-PBE | optimized geometry; M_tot = 0.0000 μB per atom; calculated volume = 110 Å³/f.u.; space-group type = P1, No. 1
1.0
-2.179 2.889 -0.174
0.399 -1.691 4.564
11.265 7.234 0.957
Rb Ta Sb
2 2 2
Cartesian
7.118 4.366 3.846
2.280 4.106 0.830
-0.893 1.678 0.053
8.973 8.021 3.586
9.602 6.097 1.591
-0.120 2.444 3.020


Version b
RbTaSb | Alexandria via LeMat-Bulk | GGA-PBE | optimized geometry; M_tot = 0.0000 μB per atom; calculated volume = 109 Å³/f.u.; space-group type = P1, No. 1
1.0
-0.692 -2.670 2.355
4.298 -0.621 -2.232
5.708 7.374 9.458
Rb Ta Sb
2 2 2
Cartesian
5.002 3.418 5.063
5.187 1.218 0.406
5.264 5.674 10.485
7.142 3.813 8.935
4.061 4.216 8.484
2.044 -0.707 0.098


version b ends up most stable, edging out the next structure by 7 meV/atom.


Version a
RbTaSb3 | Alexandria via LeMat-Bulk | GGA-PBE | optimized geometry; M_tot = 0.0000 μB per atom; calculated volume = 164 Å³/f.u.; space-group type = Pm-3m, No. 221
1.0
-2.821 4.628 -0.775
-2.214 -2.110 -4.541
-4.137 -2.027 2.958
Sb Rb Ta
3 1 1
Cartesian
-1.107 -1.055 -2.271
-2.069 -1.013 1.479
-1.411 2.314 -0.387
-4.586 0.245 -1.179
0.000 0.000 0.000


Version b
RbTaSb3 | Alexandria via LeMat-Bulk | GGA-PBE | optimized geometry; M_tot = 0.0134 μB per atom; calculated volume = 180 Å³/f.u.; space-group type = Pm-3m, No. 221
1.0
-3.952 3.049 -2.630
1.472 -2.336 -4.920
-3.748 -4.133 0.841
Sb Rb Ta
3 1 1
Cartesian
0.736 -1.168 -2.460
-1.874 -2.066 0.420
-1.976 1.525 -1.315
0.000 0.000 0.000
-3.114 -1.710 -3.355


version a ends up most stable, edging out the next structure by 2324 meV/atom.


Version a
RbTaSbTe2 | Alexandria via LeMat-Bulk | GGA-PBE | optimized geometry; M_tot = 0.0000 μB per atom; calculated volume = 169 Å³/f.u.; space-group type = P4/mmm, No. 123
1.0
-0.577 -1.591 5.277
4.673 -2.954 -0.379
2.895 4.369 1.634
Sb Te Rb Ta
1 2 1 1
Cartesian
1.448 2.184 0.817
2.336 -1.477 -0.190
-0.289 -0.795 2.638
3.495 -0.088 3.265
0.000 0.000 0.000


Version b
RbTaSbTe2 | Alexandria via LeMat-Bulk | GGA-PBE | optimized geometry; M_tot = 0.0418 μB per atom; calculated volume = 199 Å³/f.u.; space-group type = P4/mmm, No. 123
1.0
5.900 0.000 0.000
0.000 5.900 0.000
0.000 0.000 5.714
Sb Te Rb Ta
1 2 1 1
Cartesian
0.000 0.000 2.857
0.000 2.950 0.000
2.950 0.000 0.000
0.000 0.000 0.000
2.950 2.950 2.857


version a ends up most stable, edging out the next structure by 2344 meV/atom.


Version a
RbTcSb3 | Alexandria via LeMat-Bulk | GGA-PBE | optimized geometry; M_tot = 0.2325 μB per atom; calculated volume = 153 Å³/f.u.; space-group type = Pm-3m, No. 221
1.0
-3.075 1.396 -4.151
3.691 -1.902 -3.375
-2.356 -4.803 0.130
Sb Tc Rb
3 1 1
Cartesian
1.846 -0.951 -1.688
-1.178 -2.401 0.065
-1.538 0.698 -2.075
0.000 0.000 0.000
-0.870 -2.654 -3.698


Version b
RbTcSb3 | Alexandria via LeMat-Bulk | GGA-PBE | optimized geometry; M_tot = 0.0172 μB per atom; calculated volume = 190 Å³/f.u.; space-group type = Pm-3m, No. 221
1.0
-5.654 0.979 -0.329
-0.074 -2.210 -5.305
-1.030 -5.214 2.186
Sb Tc Rb
3 1 1
Cartesian
-0.037 -1.105 -2.652
-0.515 -2.607 1.093
-2.827 0.490 -0.164
-3.379 -3.222 -1.724
0.000 0.000 0.000


version a ends up most stable, edging out the next structure by 2233 meV/atom.


Version a
RbTcSb2 | Alexandria via LeMat-Bulk | GGA-PBE | optimized geometry; M_tot = 0.0000 μB per atom; calculated volume = 94 Å³/f.u.; space-group type = Fm-3m, No. 225
1.0
-1.462 -4.085 -2.688
-4.156 -2.616 1.390
-4.220 0.205 -2.863
Sb Tc Rb
2 1 1
Cartesian
-2.460 -1.624 -1.040
-7.379 -4.871 -3.121
-4.919 -3.248 -2.081
0.000 0.000 0.000


Version b
RbTcSb2 | Alexandria via LeMat-Bulk | GGA-PBE | optimized geometry; M_tot = 0.0000 μB per atom; calculated volume = 170 Å³/f.u.; space-group type = I-42d, No. 122
1.0
6.825 0.000 0.000
0.000 6.825 0.000
3.412 3.412 7.279
Sb Tc Rb
4 2 2
Cartesian
6.833 1.706 1.820
6.817 5.119 1.820
5.119 3.404 5.459
8.531 3.420 5.459
0.000 0.000 0.000
6.825 3.412 3.640
3.412 3.412 0.000
3.412 6.825 3.640


Version c
RbTcSb2 | Alexandria via LeMat-Bulk | GGA-PBE | optimized geometry; M_tot = 0.0000 μB per atom; calculated volume = 100 Å³/f.u.; space-group type = P4/mmm, No. 123
1.0
3.320 0.000 0.000
0.000 3.320 0.000
0.000 0.000 9.091
Sb Tc Rb
2 1 1
Cartesian
0.000 0.000 7.458
0.000 0.000 1.634
1.660 1.660 0.000
1.660 1.660 4.546


version c ends up most stable, edging out the next structure by 204 meV/atom.